Run a
A plane-wave DFT calculation with PBE was carried out for a geometry-optimized Ir2I2Cl structure. Values from VASP.

DOS at the Fermi energy   3.22 states/eV/cell

Cell and atoms, written as Quantum ESPRESSO input:
```
&SYSTEM
  ibrav = 0, nat = 10, ntyp = 3
/
ATOMIC_SPECIES
Ir 192.22 Ir.upf
I 126.90 I.upf
Cl 35.45 Cl.upf
CELL_PARAMETERS angstrom
5.379 0.000 0.000
0.000 5.379 0.000
0.000 0.000 7.777
ATOMIC_POSITIONS crystal
Ir 0.000 0.000 0.163
Ir 0.000 0.000 0.837
Ir 0.500 0.500 0.337
Ir 0.500 0.500 0.663
I 0.000 0.500 0.250
I 0.000 0.500 0.750
I 0.500 0.000 0.250
I 0.500 0.000 0.750
Cl 0.000 0.000 0.500
Cl 0.500 0.500 0.000
```

Run b
A plane-wave DFT calculation with PBE was carried out for a geometry-optimized Ir2I2Cl structure. Values from VASP.

DOS at the Fermi energy   17.35 states/eV/cell

Cell and atoms, written as Quantum ESPRESSO input:
```
&SYSTEM
  ibrav = 0, nat = 10, ntyp = 3
/
ATOMIC_SPECIES
Ir 192.22 Ir.upf
I 126.90 I.upf
Cl 35.45 Cl.upf
CELL_PARAMETERS angstrom
7.509 0.000 0.000
0.000 7.509 0.000
0.000 0.000 3.750
ATOMIC_POSITIONS crystal
Ir 0.129 0.371 0.000
Ir 0.371 0.871 0.000
Ir 0.629 0.129 0.000
Ir 0.871 0.629 0.000
I 0.170 0.670 0.500
I 0.330 0.170 0.500
I 0.670 0.830 0.500
I 0.830 0.330 0.500
Cl 0.000 0.000 0.000
Cl 0.500 0.500 0.000
```

Stability comparison, relative energies in eV/atom: run a 0.000; run b 0.413

Run a
A plane-wave DFT calculation with PBE was carried out for a geometry-optimized Ir2ICl structure. Values from VASP.

DOS at the Fermi energy   3.69 states/eV/cell

Cell and atoms, written as Quantum ESPRESSO input:
```
&SYSTEM
  ibrav = 0, nat = 16, ntyp = 3
/
ATOMIC_SPECIES
Ir 192.22 Ir.upf
I 126.90 I.upf
Cl 35.45 Cl.upf
CELL_PARAMETERS angstrom
6.576 0.000 0.000
0.000 6.576 0.000
0.000 0.000 6.576
ATOMIC_POSITIONS crystal
Ir 0.250 0.250 0.250
Ir 0.250 0.250 0.750
Ir 0.250 0.750 0.250
Ir 0.250 0.750 0.750
Ir 0.750 0.250 0.250
Ir 0.750 0.250 0.750
Ir 0.750 0.750 0.250
Ir 0.750 0.750 0.750
I 0.000 0.000 0.000
I 0.000 0.500 0.500
I 0.500 0.000 0.500
I 0.500 0.500 0.000
Cl 0.000 0.000 0.500
Cl 0.000 0.500 0.000
Cl 0.500 0.000 0.000
Cl 0.500 0.500 0.500
```

Run b
A plane-wave DFT calculation with PBE was carried out for a geometry-optimized Ir2ICl structure. Values from VASP.

DOS at the Fermi energy   6.55 states/eV/cell

Cell and atoms, written as Quantum ESPRESSO input:
```
&SYSTEM
  ibrav = 0, nat = 16, ntyp = 3
/
ATOMIC_SPECIES
Ir 192.22 Ir.upf
I 126.90 I.upf
Cl 35.45 Cl.upf
CELL_PARAMETERS angstrom
6.893 0.000 0.000
0.000 6.893 0.000
0.000 0.000 6.435
ATOMIC_POSITIONS crystal
Ir 0.240 0.750 0.125
Ir 0.250 0.240 0.875
Ir 0.250 0.260 0.375
Ir 0.260 0.750 0.625
Ir 0.740 0.250 0.625
Ir 0.750 0.740 0.375
Ir 0.750 0.760 0.875
Ir 0.760 0.250 0.125
I 0.000 0.000 0.500
I 0.000 0.500 0.750
I 0.500 0.000 0.250
I 0.500 0.500 0.000
Cl 0.000 0.000 0.000
Cl 0.000 0.500 0.250
Cl 0.500 0.000 0.750
Cl 0.500 0.500 0.500
```

Stability comparison, relative energies in eV/atom: run a 0.161; run b 0.000

Run a
A plane-wave DFT calculation with PBE was carried out for a geometry-optimized KICl4 structure. Values from VASP.

DOS at the Fermi energy   0.00 states/eV/cell

Cell and atoms, written as Quantum ESPRESSO input:
```
&SYSTEM
  ibrav = 0, nat = 24, ntyp = 3
/
ATOMIC_SPECIES
K 39.10 K.upf
I 126.90 I.upf
Cl 35.45 Cl.upf
CELL_PARAMETERS angstrom
9.249 0.000 0.000
0.000 11.660 0.000
-3.092 0.000 8.530
ATOMIC_POSITIONS crystal
K 0.160 0.118 0.165
K 0.160 0.382 0.665
K 0.840 0.618 0.335
K 0.840 0.882 0.835
I 0.256 0.003 0.754
I 0.256 0.497 0.254
I 0.744 0.503 0.746
I 0.744 0.997 0.246
Cl 0.034 0.130 0.775
Cl 0.034 0.370 0.275
Cl 0.220 0.614 0.473
Cl 0.220 0.886 0.973
Cl 0.278 0.139 0.543
Cl 0.278 0.361 0.043
Cl 0.459 0.627 0.234
Cl 0.459 0.873 0.734
Cl 0.541 0.127 0.266
Cl 0.541 0.373 0.766
Cl 0.722 0.639 0.957
Cl 0.722 0.861 0.457
Cl 0.780 0.114 0.027
Cl 0.780 0.386 0.527
Cl 0.966 0.630 0.725
Cl 0.966 0.870 0.225
```

Run b
A plane-wave DFT calculation with PBE was carried out for a geometry-optimized KICl4 structure. Values from VASP.

DOS at the Fermi energy   0.00 states/eV/cell

Cell and atoms, written as Quantum ESPRESSO input:
```
&SYSTEM
  ibrav = 0, nat = 12, ntyp = 3
/
ATOMIC_SPECIES
K 39.10 K.upf
I 126.90 I.upf
Cl 35.45 Cl.upf
CELL_PARAMETERS angstrom
7.905 -3.840 0.000
7.905 3.840 0.000
-3.831 0.000 6.793
ATOMIC_POSITIONS crystal
K 0.250 0.750 0.750
K 0.750 0.250 0.250
I 0.000 0.500 0.000
I 0.500 0.000 0.500
Cl 0.036 0.205 0.035
Cl 0.205 0.036 0.535
Cl 0.294 0.465 0.294
Cl 0.465 0.294 0.794
Cl 0.535 0.706 0.206
Cl 0.706 0.535 0.706
Cl 0.795 0.964 0.465
Cl 0.964 0.795 0.965
```

Stability comparison, relative energies in eV/atom: run a 0.024; run b 0.000